# Cd2In2SnHg2 (PBE-GGA, optimized geometry)
# energy of formation	0.30	eV per formula unit
data_Cd2In2SnHg2
_chemical_formula_sum 'Cd4 In4 Sn2 Hg4'
_space_group_name_H-M_alt 'C 1 2/m 1'
_space_group_IT_number 12
_space_group_name_Hall '-C 2y'
_cell_length_a 11.221
_cell_length_b 5.069
_cell_length_c 7.968
_cell_angle_alpha 90.00
_cell_angle_beta 122.86
_cell_angle_gamma 90.00
loop_
_atom_site_label
_atom_site_fract_x
_atom_site_fract_y
_atom_site_fract_z
_atom_site_occupancy
Cd1 0.050 0.000 0.334 1
In1 0.220 0.000 0.096 1
Sn1 0.000 0.500 0.500 1
Hg1 0.147 0.500 0.234 1

***

Compound: Tb2TeO2
Source: Alexandria
Functional: PBE-GGA
Structure: optimized geometry

```
data_Tb2TeO2
_chemical_formula_sum 'Tb4 Te2 O4'
_space_group_name_H-M_alt 'I 4/m m m'
_space_group_IT_number 139
_space_group_name_Hall '-I 4 2'
_cell_length_a 3.952
_cell_length_b 3.952
_cell_length_c 12.582
_cell_angle_alpha 90.00
_cell_angle_beta 90.00
_cell_angle_gamma 90.00
loop_
_atom_site_label
_atom_site_fract_x
_atom_site_fract_y
_atom_site_fract_z
_atom_site_occupancy
Tb1 0.000 0.000 0.162 1
Te1 0.000 0.000 0.500 1
O1 0.000 0.500 0.250 1
```

***

# Sr2CdAs3Pt4 (PBE-GGA, optimized geometry)
# energy of formation	-7.14	eV per formula unit
data_Sr2CdAs3Pt4
_chemical_formula_sum 'Sr2 Cd1 As3 Pt4'
_space_group_name_H-M_alt 'P -4 m 2'
_space_group_IT_number 115
_space_group_name_Hall 'P -4 -2'
_cell_length_a 4.490
_cell_length_b 4.490
_cell_length_c 10.479
_cell_angle_alpha 90.00
_cell_angle_beta 90.00
_cell_angle_gamma 90.00
loop_
_atom_site_label
_atom_site_fract_x
_atom_site_fract_y
_atom_site_fract_z
_atom_site_occupancy
Sr1 0.000 0.500 0.244 1
Cd1 0.000 0.000 0.500 1
As1 0.000 0.500 0.878 1
As2 0.500 0.500 0.500 1
Pt1 0.000 0.000 0.000 1
Pt2 0.000 0.500 0.643 1
Pt3 0.500 0.500 0.000 1

***

no.,magnetization (μB/cell),E (eV/atom)
1,0.00,-1.66
2,0.00,-7.43
3,0.00,-4.95